No. 1
VASP calculation (PBE) on a relaxed structure of TmThNi2P2.

Values from the calculation:
**Calculated formation energy**: -1.224 eV/atom

abc: 3.929 3.929 7.795
angles: 90.00 90.00 120.00
Fractional coordinates of all 6 atoms:
Tm 0.000 0.000 0.000
Th 0.000 0.000 0.500
Ni 0.333 0.667 0.251
Ni 0.667 0.333 0.749
P 0.333 0.667 0.766
P 0.667 0.333 0.234

***

No. 2
VASP calculation (PBE) on a relaxed structure of Sn2MoPt.

Values from the calculation:
**Calculated formation energy**: 0.105 eV/atom
**Energy above the lowest structure with this stoichiometry**: 0.00 eV/f.u.

abc: 4.713 4.713 4.713
angles: 60.00 60.00 60.00
Fractional coordinates of all 4 atoms:
Sn 0.250 0.250 0.250
Sn 0.750 0.750 0.750
Mo 0.000 0.000 0.000
Pt 0.500 0.500 0.500

***

No. 3
VASP calculation (PBE) on a relaxed structure of Mg4Zn3Ag2.

Values from the calculation:
**Calculated formation energy**: -0.117 eV/atom

abc: 4.550 4.686 8.645
angles: 87.33 89.83 61.07
Fractional coordinates of all 9 atoms:
Mg 0.011 0.477 0.327
Mg 0.339 0.821 0.111
Mg 0.661 0.179 0.889
Mg 0.989 0.523 0.673
Zn 0.000 0.500 0.000
Zn 0.337 0.825 0.464
Zn 0.663 0.175 0.536
Ag 0.321 0.859 0.780
Ag 0.679 0.141 0.220

***

No. 4
VASP calculation (PBE) on a relaxed structure of TbAlCuHg.

Values from the calculation:
**Calculated formation energy**: -0.270 eV/atom

abc: 4.817 4.817 4.817
angles: 60.00 60.00 60.00
Fractional coordinates of all 4 atoms:
Tb 0.000 0.000 0.000
Al 0.500 0.500 0.500
Cu 0.750 0.750 0.750
Hg 0.250 0.250 0.250

***

No. 5
VASP calculation (PBE) on a relaxed structure of K2SI.

Values from the calculation:
**Formation energy without anion corrections**: -0.85 eV/atom
**Energy above the lowest structure with this stoichiometry**: 0.18 eV/f.u.

abc: 5.797 5.797 5.797
angles: 60.00 60.00 60.00
Fractional coordinates of all 4 atoms:
K 0.250 0.250 0.250
K 0.750 0.750 0.750
S 0.000 0.000 0.000
I 0.500 0.500 0.500

***

No. 6
VASP calculation (PBE) on a relaxed structure of MgIrRh2.

Values from the calculation:
**Calculated formation energy**: -0.092 eV/atom

abc: 5.442 5.442 5.442
angles: 149.97 130.76 58.76
Fractional coordinates of all 4 atoms:
Mg 0.000 0.000 0.000
Ir 0.734 0.234 0.500
Rh 0.266 0.766 0.500
Rh 0.503 0.503 0.000

***

Number 1: Fermi-level density of states 2.5 states/eV per cell, mass density 9.2 g cm⁻³, DFT total energy -6.936 eV per atom. Number 2: Fermi-level density of states 1.3 states/eV per cell, mass density 11.9 g cm⁻³, DFT total energy -6.114 eV per atom. Number 3: Fermi-level density of states 3.1 states/eV per cell, mass density 5.2 g cm⁻³, DFT total energy -1.884 eV per atom. Number 4: Fermi-level density of states 2.0 states/eV per cell, mass density 9.5 g cm⁻³, DFT total energy -3.463 eV per atom. Number 5: Fermi-level density of states 4.9 states/eV per cell, mass density 2.9 g cm⁻³, DFT total energy -2.820 eV per atom. Number 6: Fermi-level density of states 5.2 states/eV per cell, mass density 11.6 g cm⁻³, DFT total energy -6.381 eV per atom.